Record 1
Density functional theory data (PBE-GGA) for Te7IrCl7 after structural relaxation.

Computed properties:
As for the space group: P-1. As for the crystal system: triclinic. As for the calculated total energy: -3.36 eV per atom. The uncorrected formation energy comes out at -446 meV/atom. As for the volume: 33.9 A^3/atom.

Unit cell a=9.737 b=10.812 c=11.762 alpha=70.15 beta=65.43 gamma=67.89
Fractional coordinates of all 30 atoms:
1 Te 0.796 0.031 0.306
2 Te 0.204 0.969 0.694
3 Te 0.653 0.253 0.139
4 Te 0.347 0.747 0.861
5 Te 0.054 0.146 0.205
6 Te 0.946 0.854 0.795
7 Te 0.058 0.676 0.997
8 Te 0.942 0.324 0.003
9 Te 0.814 0.044 0.974
10 Te 0.186 0.956 0.026
11 Te 0.679 0.758 0.265
12 Te 0.321 0.242 0.735
13 Te 0.067 0.667 0.320
14 Te 0.933 0.333 0.680
15 Ir 0.935 0.851 0.152
16 Ir 0.065 0.149 0.848
17 Cl 0.702 0.733 0.031
18 Cl 0.298 0.267 0.969
19 Cl 0.838 0.508 0.296
20 Cl 0.162 0.492 0.704
21 Cl 0.650 0.743 0.489
22 Cl 0.350 0.257 0.511
23 Cl 0.486 0.008 0.266
24 Cl 0.514 0.992 0.734
25 Cl 0.235 0.498 0.170
26 Cl 0.765 0.502 0.830
27 Cl 0.314 0.707 0.266
28 Cl 0.686 0.293 0.734
29 Cl 0.973 0.835 0.469
30 Cl 0.027 0.165 0.531

Record 2
Density functional theory data (PBE-GGA) for TeIrCl2 after structural relaxation.

Computed properties:
As for the space group: P4/mmm. As for the crystal system: tetragonal. As for the calculated total energy: -3.32 eV per atom. As for the energy relative to the lowest polymorph listed for this composition: 822 meV/atom. The uncorrected formation energy comes out at 605 meV/atom. As for the volume: 26.9 A^3/atom.

Unit cell a=3.101 b=3.101 c=11.175 alpha=90.00 beta=90.00 gamma=90.00
Each line ends with the local moment (μB).
Fractional coordinates of all 4 atoms:
1 Ir 0.500 0.500 0.250  2.13
2 Te 0.500 0.500 0.750  -0.01
3 Cl 0.000 0.000 0.106  0.34
4 Cl 0.000 0.000 0.394  0.34

Record 3
Density functional theory data (PBE-GGA) for TeIrCl2 after structural relaxation.

Computed properties:
As for the space group: Pm. As for the crystal system: monoclinic. As for the calculated total energy: -4.08 eV per atom. As for the energy relative to the lowest polymorph listed for this composition: 63 meV/atom. The uncorrected formation energy comes out at -155 meV/atom. As for the volume: 25.8 A^3/atom.

Unit cell a=3.714 b=5.438 c=6.450 alpha=52.41 beta=90.00 gamma=90.00
Fractional coordinates of all 4 atoms:
1 Ir 0.000 0.534 0.470
2 Te 0.500 0.643 0.662
3 Cl 0.000 0.005 0.017
4 Cl 0.500 0.319 0.351

Record 4
Density functional theory data (PBE-GGA) for TeIrCl2 after structural relaxation.

Computed properties:
As for the space group: F-43m. As for the crystal system: cubic. As for the calculated total energy: -3.44 eV per atom. As for the energy relative to the lowest polymorph listed for this composition: 703 meV/atom. The uncorrected formation energy comes out at 486 meV/atom. As for the volume: 18.9 A^3/atom.

Unit cell a=4.744 b=4.744 c=4.744 alpha=119.98 beta=119.98 gamma=90.04
Fractional coordinates of all 4 atoms:
1 Ir 0.500 0.500 0.000
2 Te 0.750 0.250 0.500
3 Cl 0.000 0.000 0.000
4 Cl 0.250 0.750 0.500

Record 5
Density functional theory data (PBE-GGA) for TeIrCl after structural relaxation.

Computed properties:
As for the space group: P3m1. As for the crystal system: trigonal. As for the calculated total energy: -4.92 eV per atom. The uncorrected formation energy comes out at -301 meV/atom. As for the volume: 26.9 A^3/atom.

Unit cell a=3.786 b=3.786 c=6.511 alpha=90.00 beta=90.00 gamma=120.00
Fractional coordinates of all 3 atoms:
1 Ir 0.667 0.333 0.337
2 Te 0.333 0.667 0.546
3 Cl 0.000 0.000 0.117

Record 6
Density functional theory data (PBE-GGA) for TeIrCl2 after structural relaxation.

Computed properties:
As for the space group: P4mm. As for the crystal system: tetragonal. As for the calculated total energy: -3.74 eV per atom. As for the energy relative to the lowest polymorph listed for this composition: 398 meV/atom. The uncorrected formation energy comes out at 181 meV/atom. As for the volume: 23.5 A^3/atom.

Unit cell a=3.269 b=3.269 c=8.803 alpha=90.00 beta=90.00 gamma=90.00
Each line ends with the local moment (μB).
Fractional coordinates of all 4 atoms:
1 Ir 0.000 0.000 0.530  0.07
2 Te 0.500 0.500 0.699  0.00
3 Cl 0.000 0.000 0.930  0.00
4 Cl 0.500 0.500 0.340  0.00

Record 7
Density functional theory data (PBE-GGA) for TeIrCl after structural relaxation.

Computed properties:
As for the space group: F-43m. As for the crystal system: cubic. As for the calculated total energy: -4.35 eV per atom. The uncorrected formation energy comes out at 271 meV/atom. As for the volume: 22.0 A^3/atom.

Unit cell a=4.534 b=4.534 c=4.534 alpha=60.00 beta=60.00 gamma=60.00
Fractional coordinates of all 3 atoms:
1 Cl 0.500 0.500 0.500
2 Ir 0.750 0.750 0.750
3 Te 0.000 0.000 0.000

Record 8
Density functional theory data (PBE-GGA) for TeIrCl2 after structural relaxation.

Computed properties:
As for the space group: P4/mmm. As for the crystal system: tetragonal. As for the calculated total energy: -2.96 eV per atom. As for the energy relative to the lowest polymorph listed for this composition: 1183 meV/atom. The uncorrected formation energy comes out at 966 meV/atom. As for the volume: 20.2 A^3/atom.

Unit cell a=4.638 b=4.176 c=4.176 alpha=90.00 beta=90.00 gamma=90.00
Each line ends with the local moment (μB).
Fractional coordinates of all 4 atoms:
1 Ir 0.500 0.500 0.000  0.68
2 Te 0.500 0.000 0.500  0.02
3 Cl 0.000 0.000 0.000  0.10
4 Cl 0.000 0.500 0.500  0.10

Record 9
Density functional theory data (PBE-GGA) for TeIrCl2 after structural relaxation.

Computed properties:
As for the space group: Pmmm. As for the crystal system: orthorhombic. As for the calculated total energy: -2.98 eV per atom. As for the energy relative to the lowest polymorph listed for this composition: 1165 meV/atom. The uncorrected formation energy comes out at 947 meV/atom. As for the volume: 20.0 A^3/atom.

Unit cell a=3.019 b=4.396 c=6.019 alpha=90.00 beta=90.00 gamma=90.00
Each line ends with the local moment (μB).
Fractional coordinates of all 4 atoms:
1 Ir 0.500 0.500 0.250  0.68
2 Te 0.500 0.500 0.750  -0.09
3 Cl 0.000 0.000 0.015  0.04
4 Cl 0.000 0.000 0.485  0.04

Record 10
Density functional theory data (PBE-GGA) for TeIrCl2 after structural relaxation.

Computed properties:
As for the space group: Pmmm. As for the crystal system: orthorhombic. As for the calculated total energy: -3.32 eV per atom. As for the energy relative to the lowest polymorph listed for this composition: 821 meV/atom. The uncorrected formation energy comes out at 604 meV/atom. As for the volume: 19.1 A^3/atom.

Unit cell a=3.099 b=5.346 c=4.622 alpha=90.00 beta=90.00 gamma=90.00
Fractional coordinates of all 4 atoms:
1 Ir 0.500 0.000 0.500
2 Te 0.000 0.500 0.500
3 Cl 0.000 0.000 0.000
4 Cl 0.500 0.500 0.000

Record 11
Density functional theory data (PBE-GGA) for TeIrCl2 after structural relaxation.

Computed properties:
As for the space group: I-42d. As for the crystal system: tetragonal. As for the calculated total energy: -3.63 eV per atom. As for the energy relative to the lowest polymorph listed for this composition: 513 meV/atom. The uncorrected formation energy comes out at 295 meV/atom. As for the volume: 24.0 A^3/atom.

Unit cell a=8.413 b=8.413 c=6.538 alpha=49.95 beta=49.95 gamma=90.00
Fractional coordinates of all 8 atoms:
1 Ir 0.000 0.000 0.000
2 Ir 0.750 0.250 0.500
3 Te 0.500 0.500 0.000
4 Te 0.250 0.750 0.500
5 Cl 0.755 0.125 0.250
6 Cl 0.995 0.625 0.250
7 Cl 0.375 0.245 0.750
8 Cl 0.875 0.005 0.750

Record 12
Density functional theory data (PBE-GGA) for TeIrCl2 after structural relaxation.

Computed properties:
As for the space group: Imm2. As for the crystal system: orthorhombic. As for the calculated total energy: -3.91 eV per atom. As for the energy relative to the lowest polymorph listed for this composition: 231 meV/atom. The uncorrected formation energy comes out at 13 meV/atom. As for the volume: 33.3 A^3/atom.

Unit cell a=7.360 b=7.360 c=7.360 alpha=150.62 beta=136.74 gamma=53.15
Each line ends with the local moment (μB).
Fractional coordinates of all 4 atoms:
1 Ir 0.526 0.526 0.000  0.85
2 Te 0.398 0.898 0.500  -0.02
3 Cl 0.925 0.925 0.000  0.06
4 Cl 0.651 0.151 0.500  0.00